No. 1
# GGA-PBE La2IrO5, optimized geometry
data_La2IrO5
_cell_length_a 9.059
_cell_length_b 9.059
_cell_length_c 5.710
_cell_angle_alpha 90.00
_cell_angle_beta 90.00
_cell_angle_gamma 90.00
_symmetry_space_group_name_H-M 'I 4/m'
_symmetry_Int_Tables_number 87
_symmetry_space_group_name_Hall '-I 4'
loop_
_atom_site_label
_atom_site_type_symbol
_atom_site_fract_x
_atom_site_fract_y
_atom_site_fract_z
La1 La 0.103 0.684 0.000
Ir1 Ir 0.000 0.000 0.275
O1 O 0.000 0.500 0.250
O2 O 0.096 0.191 0.252
# VASP energy (eV/atom): -7.8974

---

No. 2
# GGA-PBE LaPIrO, optimized geometry
data_LaPIrO
_cell_length_a 6.281
_cell_length_b 6.281
_cell_length_c 4.402
_cell_angle_alpha 90.00
_cell_angle_beta 90.00
_cell_angle_gamma 90.00
_symmetry_space_group_name_H-M 'P 4/n m m'
_symmetry_Int_Tables_number 129
loop_
_symmetry_equiv_pos_as_xyz
'x,y,z'
'-x,-y,-z'
'-y+1/2,x,z'
'y+1/2,-x,-z'
'-x+1/2,-y+1/2,z'
'x+1/2,y+1/2,-z'
'y,-x+1/2,z'
'-y,x+1/2,-z'
'x+1/2,-y,-z'
'-x+1/2,y,z'
'-y,-x,-z'
'y,x,z'
'-x,y+1/2,-z'
'x,-y+1/2,z'
'y+1/2,x+1/2,-z'
'-y+1/2,-x+1/2,z'
loop_
_atom_site_label
_atom_site_type_symbol
_atom_site_fract_x
_atom_site_fract_y
_atom_site_fract_z
La1 La 0.250 0.750 0.000
P1 P 0.250 0.250 0.123
Ir1 Ir 0.250 0.250 0.627
O1 O 0.250 0.750 0.500
# Energy above the most stable polymorph in this dataset (eV per atom): 1.162
# VASP energy (eV/atom): -6.8845

---

No. 3
# GGA-PBE LaPIrO, optimized geometry
data_LaPIrO
_cell_length_a 4.011
_cell_length_b 4.011
_cell_length_c 8.636
_cell_angle_alpha 90.00
_cell_angle_beta 90.00
_cell_angle_gamma 90.00
_symmetry_space_group_name_H-M 'P 4/n m m'
_symmetry_Int_Tables_number 129
loop_
_symmetry_equiv_pos_as_xyz
'x,y,z'
'-x,-y,-z'
'-y+1/2,x,z'
'y+1/2,-x,-z'
'-x+1/2,-y+1/2,z'
'x+1/2,y+1/2,-z'
'y,-x+1/2,z'
'-y,x+1/2,-z'
'x+1/2,-y,-z'
'-x+1/2,y,z'
'-y,-x,-z'
'y,x,z'
'-x,y+1/2,-z'
'x,-y+1/2,z'
'y+1/2,x+1/2,-z'
'-y+1/2,-x+1/2,z'
loop_
_atom_site_label
_atom_site_type_symbol
_atom_site_fract_x
_atom_site_fract_y
_atom_site_fract_z
La1 La 0.250 0.250 0.145
P1 P 0.250 0.250 0.649
Ir1 Ir 0.250 0.750 0.500
O1 O 0.250 0.750 0.000
# Energy above the most stable polymorph in this dataset (eV per atom): 0.000
# VASP energy (eV/atom): -8.0465

---

No. 4
# GGA-PBE LaPIrO, optimized geometry
data_LaPIrO
_cell_length_a 3.416
_cell_length_b 7.673
_cell_length_c 5.371
_cell_angle_alpha 90.00
_cell_angle_beta 90.00
_cell_angle_gamma 90.00
_symmetry_space_group_name_H-M 'P m c 21'
_symmetry_Int_Tables_number 26
_symmetry_space_group_name_Hall 'P 2c -2'
loop_
_atom_site_label
_atom_site_type_symbol
_atom_site_fract_x
_atom_site_fract_y
_atom_site_fract_z
La1 La 0.000 0.168 0.000
P1 P 0.000 0.433 0.492
Ir1 Ir 0.500 0.243 0.500
O1 O 0.500 0.007 0.745
# Energy above the most stable polymorph in this dataset (eV per atom): 0.674
# VASP energy (eV/atom): -7.3727